No. 1
DFT (PBE) results for a geometry-optimized MgZrSeBr2 structure.

Properties
SG: P4/mmm
Energy relative to the elements, uncorrected (meV per atom): -675
Total magnetization (μB/f.u.): 0.55
Crystal system: tetragonal
Uncorrected energy (eV per formula unit): -20.35

Lattice parameters (Å, degrees): 5.3983 5.3983 5.2251 90.00 90.00 90.00
Last column: nearest neighbours and their distance in Å.
Positions (direct):
Br 0.0000 0.5000 0.0000  2 Zr 2.70
Br 0.5000 0.0000 0.0000  2 Zr 2.70
Zr 0.0000 0.0000 0.0000  2 Se 2.61, 4 Br 2.70
Mg 0.5000 0.5000 0.5000  8 Br 3.76, 4 Se 3.82
Se 0.0000 0.0000 0.5000  2 Zr 2.61


No. 2
DFT (PBE) results for a geometry-optimized CaZn3Sn3 structure.

Properties
SG: Pm-3n
Total magnetization (μB/f.u.): 0.00
Crystal system: cubic
Uncorrected energy (eV per formula unit): -16.84
Energy relative to the elements (eV per formula unit): 0.99

Lattice parameters (Å, degrees): 7.4338 7.4338 7.4338 90.00 90.00 90.00
Last column: nearest neighbours and their distance in Å.
Positions (direct):
Ca 0.0000 0.0000 0.0000  12 Sn 4.16, 12 Zn 4.16
Ca 0.5000 0.5000 0.5000  12 Sn 4.16, 12 Zn 4.16
Sn 0.0000 0.5000 0.7500  4 Zn 2.63
Sn 0.7500 0.0000 0.5000  4 Zn 2.63
Sn 0.0000 0.5000 0.2500  4 Zn 2.63
Sn 0.5000 0.2500 0.0000  4 Zn 2.63
Sn 0.5000 0.7500 0.0000  4 Zn 2.63
Sn 0.2500 0.0000 0.5000  4 Zn 2.63
Zn 0.2500 0.5000 0.0000  4 Sn 2.63
Zn 0.5000 0.0000 0.2500  4 Sn 2.63
Zn 0.7500 0.5000 0.0000  4 Sn 2.63
Zn 0.5000 0.0000 0.7500  4 Sn 2.63
Zn 0.0000 0.7500 0.5000  4 Sn 2.63
Zn 0.0000 0.2500 0.5000  4 Sn 2.63


> The lowest uncorrected energy belongs to which entry?

MgZrSeBr2